[1]
Compound: CsPu4Cl8
Source: Alexandria via LeMat-Bulk
Functional: GGA-PBE
Structure: relaxed

Cell and atoms, written as POSCAR:
```
CsPu4Cl8
1.0
8.6567 0.0000 0.0000
4.3284 7.4969 0.0000
4.3284 2.4990 7.0682
Cs Pu Cl
1 4 8
Direct
0.7500 0.7500 0.7500
0.8962 0.3679 0.3679
0.3679 0.8962 0.3679
0.3679 0.3679 0.8962
0.3679 0.3679 0.3679
0.5914 0.1362 0.1362
0.1362 0.5914 0.1362
0.1362 0.1362 0.5914
0.1362 0.1362 0.1362
0.1954 0.6015 0.6015
0.6015 0.1954 0.6015
0.6015 0.6015 0.1954
0.6015 0.6015 0.6015
```

Calculated values
Offset from the most stable computed form   94.7 meV per atom
Density of states at the Fermi level   2.916 states/eV per atom
Formation energy from raw total energies   -1615 meV/atom
Total DFT energy (no corrections)   -7.2272 eV per atom

[2]
Compound: DyHo2ScSb4
Source: Alexandria via LeMat-Bulk
Functional: GGA-PBE
Structure: relaxed

Cell and atoms, written as POSCAR:
```
DyHo2ScSb4
1.0
4.3283 0.0000 0.0000
0.0000 7.4892 0.1293
0.0000 -2.6194 7.0189
Dy Ho Sc Sb
1 2 1 4
Direct
0.5000 0.5000 0.0000
0.5000 0.0000 0.5000
0.0000 0.5000 0.5000
0.0000 0.0000 0.0000
0.5000 0.2407 0.2414
0.5000 0.7593 0.7586
0.0000 0.2448 0.7537
0.0000 0.7552 0.2463
```

Calculated values
Density of states at the Fermi level   0.152 states/eV per atom
Formation energy from raw total energies   -1063 meV/atom
Total DFT energy (no corrections)   -5.6355 eV per atom

[3]
Compound: KAg3F4
Source: Alexandria via LeMat-Bulk
Functional: GGA-PBE
Structure: relaxed

Cell and atoms, written as POSCAR:
```
KAg3F4
1.0
-1.2892 -2.1054 -4.5886
4.9170 -1.5980 -0.6478
-2.9030 -2.4202 4.8833
K Ag F
1 3 4
Direct
0.0000 0.0000 0.0000
0.5000 0.5000 0.0000
0.7500 0.2500 0.5000
0.2500 0.7500 0.5000
0.0000 0.5000 0.0000
0.5000 0.0000 0.0000
0.2628 0.2628 0.5260
0.7372 0.7372 0.4741
```

Calculated values
Density of states at the Fermi level   0.001 states/eV per atom
Formation energy from raw total energies   -1392 meV/atom
Total DFT energy (no corrections)   -3.5342 eV per atom

[4]
Compound: Li2MgPd8
Source: Alexandria via LeMat-Bulk
Functional: GGA-PBE
Structure: relaxed

Cell and atoms, written as POSCAR:
```
Li2MgPd8
1.0
3.8722 0.0000 -1.1785
-1.0170 5.8835 -3.3415
0.0758 0.1236 7.1998
Li Mg Pd
2 1 8
Direct
0.2006 0.7006 0.4011
0.7994 0.2994 0.5989
0.5000 0.0000 0.0000
0.6585 0.8732 0.3170
0.3415 0.5562 0.6830
0.1489 0.1488 0.2977
0.0000 0.3060 0.0000
0.8511 0.8512 0.7023
0.6585 0.4438 0.3170
0.3415 0.1268 0.6830
0.0000 0.6940 0.0000
```

Calculated values
Offset from the most stable computed form   76.2 meV per atom
Density of states at the Fermi level   1.105 states/eV per atom
Energy of formation from the pure elements   -0.2609 eV per atom
Total DFT energy (no corrections)   -4.5304 eV per atom

[5]
Compound: Pm3Nd3Mg
Source: Alexandria via LeMat-Bulk
Functional: GGA-PBE
Structure: relaxed

Cell and atoms, written as POSCAR:
```
Pm3Nd3Mg
1.0
-3.9676 4.8101 1.0680
-4.6457 -0.6156 4.2496
5.8178 6.2985 11.9812
Pm Nd Mg
6 6 2
Direct
0.2021 0.8690 0.3935
0.5354 0.2021 0.3935
0.8690 0.5354 0.3935
0.1310 0.4646 0.6065
0.4646 0.7979 0.6065
0.7979 0.1310 0.6065
0.9372 0.2704 0.1880
0.6044 0.9372 0.1880
0.2704 0.6044 0.1880
0.7296 0.3956 0.8120
0.3956 0.0628 0.8120
0.0628 0.7296 0.8120
0.6667 0.6667 0.9999
0.3333 0.3333 0.0001
```

Calculated values
Offset from the most stable computed form   81.9 meV per atom
Density of states at the Fermi level   1.396 states/eV per atom
Energy of formation from the pure elements   0.1000 eV per atom
Total DFT energy (no corrections)   -4.2072 eV per atom

[6]
Compound: YHo3Tl4S8
Source: Alexandria via LeMat-Bulk
Functional: GGA-PBE
Structure: relaxed

Cell and atoms, written as POSCAR:
```
YHo3Tl4S8
1.0
-4.9489 4.2265 4.7141
-6.6688 -1.5827 -5.5820
3.8872 -6.3835 2.9547
Y Ho Tl S
1 3 4 8
Direct
0.0000 0.5000 0.0000
0.5000 0.5000 0.0000
0.5000 0.5000 0.5000
0.0000 0.5000 0.5000
0.5000 0.0000 0.0000
0.5000 0.0000 0.5000
0.0000 0.0000 0.0000
0.0000 0.0000 0.5000
0.2332 0.6974 0.9643
0.2332 0.6974 0.4665
0.2677 0.3033 0.5354
0.7310 0.6974 0.9643
0.2690 0.3026 0.0357
0.7323 0.6967 0.4646
0.7668 0.3026 0.5335
0.7668 0.3026 0.0357
```

Calculated values
Density of states at the Fermi level   0.000 states/eV per atom
Formation energy from raw total energies   -1491 meV/atom
Total DFT energy (no corrections)   -5.4088 eV per atom

[7]
Compound: La3PmPPb2
Source: Alexandria via LeMat-Bulk
Functional: GGA-PBE
Structure: relaxed

Cell and atoms, written as POSCAR:
```
La3PmPPb2
1.0
5.3599 0.0000 0.0000
0.0000 5.4420 0.0000
-2.6799 -2.7210 8.5024
La Pm P Pb
3 1 1 2
Direct
0.0000 0.5000 0.0000
0.1702 0.1702 0.3403
0.8298 0.8298 0.6597
0.5000 0.0000 0.0000
0.0000 0.0000 0.0000
0.6340 0.6340 0.2680
0.3660 0.3660 0.7320
```

Calculated values
Density of states at the Fermi level   0.711 states/eV per atom
Energy of formation from the pure elements   -0.7208 eV per atom
Total DFT energy (no corrections)   -5.3436 eV per atom

[8]
Compound: CaSb2Te2
Source: Alexandria via LeMat-Bulk
Functional: GGA-PBE
Structure: relaxed

Cell and atoms, written as POSCAR:
```
CaSb2Te2
1.0
4.2335 0.0000 0.0000
0.0000 4.2335 0.0000
2.1168 2.1168 9.1304
Sb Ca Te
2 1 2
Direct
0.7500 0.2500 0.5000
0.2500 0.7500 0.5000
0.0000 0.0000 0.0000
0.4183 0.4183 0.1635
0.5817 0.5817 0.8365
```

Calculated values
Offset from the most stable computed form   0.0 meV per atom
Density of states at the Fermi level   0.540 states/eV per atom
Formation energy from raw total energies   -379 meV/atom
Total DFT energy (no corrections)   -3.6853 eV per atom

[9]
Compound: CsNa2SBr
Source: Alexandria via LeMat-Bulk
Functional: GGA-PBE
Structure: relaxed

Cell and atoms, written as POSCAR:
```
CsNa2SBr
1.0
-4.9330 0.2887 -1.8520
0.7519 -4.4714 -2.6999
-2.2710 -3.6873 5.4742
Cs Na S Br
1 2 1 1
Direct
0.0000 0.0000 0.5000
0.0000 0.5000 0.0000
0.5000 0.0000 0.0000
0.0000 0.0000 0.0000
0.5000 0.5000 0.5000
```

Calculated values
Density of states at the Fermi level   0.000 states/eV per atom
Formation energy from raw total energies   -1183 meV/atom
Total DFT energy (no corrections)   -3.0411 eV per atom

[10]
Compound: NaErSnAu
Source: Alexandria via LeMat-Bulk
Functional: GGA-PBE
Structure: relaxed

Cell and atoms, written as POSCAR:
```
NaErSnAu
1.0
-0.5491 3.4399 3.7274
-2.2603 -1.3220 4.3785
2.7576 -0.4067 4.2730
Na Au Sn Er
1 1 1 1
Direct
0.0000 0.0000 0.0000
0.2500 0.2500 0.2500
0.7500 0.7500 0.7500
0.5000 0.5000 0.5000
```

Calculated values
Density of states at the Fermi level   0.640 states/eV per atom
Energy of formation from the pure elements   -0.4870 eV per atom
Total DFT energy (no corrections)   -3.7775 eV per atom

[11]
Compound: FeAsIN2
Source: Alexandria via LeMat-Bulk
Functional: GGA-PBE
Structure: relaxed

Cell and atoms, written as POSCAR:
```
FeAsIN2
1.0
3.7233 0.0000 0.0000
0.0000 3.7233 0.0000
0.0000 0.0000 6.5743
I As Fe N
1 1 1 2
Direct
0.0000 0.0000 0.5000
0.5000 0.5000 0.5000
0.0000 0.0000 0.0000
0.0000 0.5000 0.0000
0.5000 0.0000 0.0000
```

Calculated values
Offset from the most stable computed form   0.0 meV per atom
Density of states at the Fermi level   0.640 states/eV per atom
Formation energy from raw total energies   1281 meV/atom
Total DFT energy (no corrections)   -4.9815 eV per atom